Material: AuO2F3
Method: DFT, PBE
State: optimized geometry

Unit cell a=5.912 b=5.953 c=7.729 alpha=89.01 beta=68.87 gamma=63.21
Element x y z (fractional)
Au (0.234, 0.364, 0.078)
Au (0.766, 0.636, 0.922)
O (0.204, 0.999, 0.619)
O (0.292, 0.791, 0.527)
O (0.708, 0.209, 0.473)
O (0.796, 0.001, 0.381)
F (0.190, 0.456, 0.828)
F (0.243, 0.288, 0.320)
F (0.365, 0.802, 0.030)
F (0.635, 0.198, 0.970)
F (0.757, 0.712, 0.680)
F (0.810, 0.544, 0.172)

Values from the calculation:
The calculation puts the volume at 18.6 A^3/atom. The formation energy without anion corrections comes out at -621 meV/atom.